The following is a DFT calculation (GGA-PBE) of LiLaRhN after structural relaxation.

Its volume is 137 Å³/cell. The total energy is -6.11 eV/atom. The raw formation energy is -0.476 eV per atom.

It has space group P4/nmm (No. 129, origin choice 2), with a = 3.9150 Å, b = 3.9150 Å, c = 8.9653 Å, α = 90.00°, β = 90.00° and γ = 90.00°. The inequivalent atoms are Li at (0.2500, 0.7500, 0.0000), La at (0.2500, 0.2500, 0.3520), Rh at (0.2500, 0.2500, 0.8334) and N at (0.2500, 0.2500, 0.6143).


The following is a DFT calculation (GGA-PBE) of LiLa2RhN after structural relaxation.

Its volume is 108 Å³/cell. The total energy is -6.02 eV/atom. The raw formation energy is -0.530 eV per atom. The energy above the most stable polymorph in this dataset comes out at 0.232 eV per atom.

It has space group P4/mmm (No. 123), with a = 5.1890 Å, b = 5.1890 Å, c = 4.0170 Å, α = 90.00°, β = 90.00° and γ = 90.00°. The inequivalent atoms are Li at (0.0000, 0.0000, 0.0000), La at (0.0000, 0.5000, 0.5000), Rh at (0.5000, 0.5000, 0.0000) and N at (0.5000, 0.5000, 0.5000).


The following is a DFT calculation (GGA-PBE) of LiLaS2N after structural relaxation.

Its volume is 140 Å³/cell. The total energy is -4.76 eV/atom. The raw formation energy is -0.077 eV per atom. The energy above the most stable polymorph in this dataset comes out at 0.355 eV per atom.

It has space group P4/mmm (No. 123), with a = 5.6519 Å, b = 5.6519 Å, c = 4.3958 Å, α = 90.00°, β = 90.00° and γ = 90.00°. The inequivalent atoms are Li at (0.0000, 0.0000, 0.0000), La at (0.5000, 0.5000, 0.5000), S at (0.0000, 0.5000, 0.5000) and N at (0.5000, 0.5000, 0.0000).


The following is a DFT calculation (GGA-PBE) of LiLaS2N after structural relaxation.

Its volume is 88 Å³/cell. The total energy is -5.12 eV/atom. The raw formation energy is -0.432 eV per atom. The energy above the most stable polymorph in this dataset comes out at 0.000 eV per atom.

It has space group P4/mmm (No. 123), with a = 4.7093 Å, b = 4.7093 Å, c = 3.9897 Å, α = 90.00°, β = 90.00° and γ = 90.00°. The inequivalent atoms are Li at (0.0000, 0.0000, 0.0000), La at (0.5000, 0.5000, 0.5000), S at (0.0000, 0.5000, 0.0000) and N at (0.0000, 0.0000, 0.5000).


The following is a DFT calculation (GGA-PBE) of Li2LaSbN after structural relaxation.

Its volume is 103 Å³/cell. The total energy is -4.35 eV/atom. The raw formation energy is -0.113 eV per atom. The energy above the most stable polymorph in this dataset comes out at 0.702 eV per atom.

It has space group P4/mmm (No. 123), with a = 4.4119 Å, b = 4.4119 Å, c = 5.2859 Å, α = 90.00°, β = 90.00° and γ = 90.00°. The inequivalent atoms are Li at (0.0000, 0.5000, 0.0000), La at (0.0000, 0.0000, 0.5000), Sb at (0.5000, 0.5000, 0.5000) and N at (0.5000, 0.5000, 0.0000).


The following is a DFT calculation (GGA-PBE) of LiLa2SbN after structural relaxation.

Its volume is 115 Å³/cell. The total energy is -5.91 eV/atom. The raw formation energy is -1.071 eV per atom.

It has space group P4/mmm (No. 123), with a = 5.0833 Å, b = 5.0833 Å, c = 4.4697 Å, α = 90.00°, β = 90.00° and γ = 90.00°. The inequivalent atoms are Li at (0.0000, 0.0000, 0.0000), La at (0.0000, 0.5000, 0.5000), Sb at (0.5000, 0.5000, 0.0000) and N at (0.0000, 0.0000, 0.5000).


The following is a DFT calculation (GGA-PBE) of Li2LaSbN after structural relaxation.

Its volume is 370 Å³/cell. The total energy is -5.06 eV/atom. The raw formation energy is -0.815 eV per atom. The energy above the most stable polymorph in this dataset comes out at 0.000 eV per atom.

It has space group Cmcm (No. 63), with a = 3.5454 Å, b = 13.7797 Å, c = 7.5688 Å, α = 90.00°, β = 90.00° and γ = 90.00°. The inequivalent atoms are Li at (0.0000, 0.1416, 0.0439), La at (0.0000, 0.4723, 0.2500), Sb at (0.0000, 0.2563, 0.7500) and N at (0.0000, 0.0000, 0.0000).


The following is a DFT calculation (GGA-PBE) of Li2LaSbN after structural relaxation.

Its volume is 100 Å³/cell. The total energy is -4.93 eV/atom. The raw formation energy is -0.689 eV per atom. The energy above the most stable polymorph in this dataset comes out at 0.126 eV per atom.

It has space group P4/mmm (No. 123), with a = 4.6254 Å, b = 4.6254 Å, c = 4.6941 Å, α = 90.00°, β = 90.00° and γ = 90.00°. The inequivalent atoms are Li at (0.0000, 0.5000, 0.0000), La at (0.0000, 0.0000, 0.5000), Sb at (0.5000, 0.5000, 0.5000) and N at (0.0000, 0.0000, 0.0000).


The following is a DFT calculation (GGA-PBE) of LiLa2ScN after structural relaxation.

Its volume is 122 Å³/cell. The total energy is -5.85 eV/atom. The raw formation energy is -0.570 eV per atom.

It has space group P4/mmm (No. 123), with a = 5.3444 Å, b = 5.3444 Å, c = 4.2856 Å, α = 90.00°, β = 90.00° and γ = 90.00°. The inequivalent atoms are Li at (0.0000, 0.0000, 0.0000), La at (0.0000, 0.5000, 0.5000), Sc at (0.5000, 0.5000, 0.0000) and N at (0.5000, 0.5000, 0.5000).


The following is a DFT calculation (GGA-PBE) of LiLaSc2N after structural relaxation.

Its volume is 105 Å³/cell. The total energy is -6.15 eV/atom. The raw formation energy is -0.581 eV per atom.

It has space group P4/mmm (No. 123), with a = 4.4499 Å, b = 4.4499 Å, c = 5.3033 Å, α = 90.00°, β = 90.00° and γ = 90.00°. The inequivalent atoms are Li at (0.0000, 0.0000, 0.0000), La at (0.5000, 0.5000, 0.0000), Sc at (0.0000, 0.5000, 0.5000) and N at (0.5000, 0.5000, 0.5000).


The following is a DFT calculation (GGA-PBE) of LiLaSe2N after structural relaxation.

Its volume is 154 Å³/cell. The total energy is -4.55 eV/atom. The raw formation energy is -0.121 eV per atom. The energy above the most stable polymorph in this dataset comes out at 0.243 eV per atom.

It has space group P4/mmm (No. 123), with a = 5.9739 Å, b = 5.9739 Å, c = 4.3110 Å, α = 90.00°, β = 90.00° and γ = 90.00°. The inequivalent atoms are Li at (0.0000, 0.0000, 0.0000), La at (0.5000, 0.5000, 0.5000), Se at (0.0000, 0.5000, 0.5000) and N at (0.5000, 0.5000, 0.0000).


The following is a DFT calculation (GGA-PBE) of LiLaSe2N after structural relaxation.

Its volume is 99 Å³/cell. The total energy is -4.79 eV/atom. The raw formation energy is -0.365 eV per atom. The energy above the most stable polymorph in this dataset comes out at 0.000 eV per atom.

It has space group P4/mmm (No. 123), with a = 4.9458 Å, b = 4.9458 Å, c = 4.0601 Å, α = 90.00°, β = 90.00° and γ = 90.00°. The inequivalent atoms are Li at (0.0000, 0.0000, 0.0000), La at (0.5000, 0.5000, 0.5000), Se at (0.0000, 0.5000, 0.0000) and N at (0.0000, 0.0000, 0.5000).